Here is crystalline LiHfCo2O at its relaxed geometry from Alexandria via LeMat-Bulk. Energies are from PBE+U.

Cell: 4.323 4.323 4.027 Å, 90.00 90.00 90.00°
Space group P4/mmm (No. 123)
Asymmetric unit:
Li 0.000 0.000 0.000 x1
Hf 0.500 0.500 0.000 x1
Co 0.000 0.500 0.500 x2
O 0.500 0.500 0.500 x1

## Properties
The calculated volume is 75.27 Å³/cell. As for the crystal system: tetragonal. As for the total energy: -5.598 eV per atom. The calculation puts the density at 7044 kg/m3.